NaCaLa PBE-GGA relaxed; energy relative to the elements = 0.139 eV per atom; energy above the lowest structure with this stoichiometry = 0.1054 eV/atom
1.0
-0.747 3.566 -0.423
-3.341 -0.531 1.418
5.140 0.068 7.390
Na Ca La
1 1 1
Direct
0.000 0.000 0.000
0.668 0.668 0.335
0.332 0.332 0.665


Mn2OsAu2 PBE-GGA relaxed; energy relative to the elements = 0.826 eV per atom; energy above the lowest structure with this stoichiometry = 0.0000 eV/atom
1.0
3.063 0.000 0.000
0.000 3.063 0.000
1.531 1.531 8.072
Os Mn Au
1 2 2
Direct
0.000 0.000 0.000
0.750 0.250 0.500
0.250 0.750 0.500
0.388 0.388 0.224
0.612 0.612 0.776


BaPmBi PBE-GGA relaxed; energy relative to the elements = -0.437 eV per atom; energy above the lowest structure with this stoichiometry = 0.0000 eV/atom
1.0
-2.493 -0.806 4.073
-0.498 -5.242 -1.342
4.260 1.660 2.936
Ba Bi Pm
1 1 1
Direct
0.666 0.667 0.333
0.168 0.333 0.667
0.166 0.000 0.000


SrLi10Ac PBE-GGA relaxed; energy relative to the elements = 0.049 eV per atom
1.0
4.579 0.000 0.000
0.000 6.278 0.000
0.000 0.000 10.747
Sr Li Ac
1 10 1
Direct
0.000 0.000 0.000
0.000 0.000 0.335
0.000 0.500 0.832
0.000 0.500 0.168
0.000 0.000 0.665
0.500 0.000 0.500
0.500 0.500 0.000
0.500 0.254 0.254
0.500 0.746 0.746
0.500 0.746 0.254
0.500 0.254 0.746
0.000 0.500 0.500


ReIrOs2 PBE-GGA relaxed; energy relative to the elements = 0.050 eV per atom; energy above the lowest structure with this stoichiometry = 0.1644 eV/atom
1.0
-5.541 5.798 4.216
-6.389 3.475 5.403
-4.218 4.817 6.410
Ir Os Re
1 2 1
Direct
0.750 0.750 0.750
0.999 0.999 0.999
0.250 0.250 0.250
0.500 0.500 0.500


Ac2PtI PBE-GGA relaxed; formation energy (no corrections) = -0.966 eV per atom; energy above the lowest structure with this stoichiometry = 0.2627 eV/atom
1.0
3.812 0.000 0.000
0.000 3.812 0.000
0.000 0.000 8.901
I Ac Pt
1 2 1
Direct
0.500 0.500 0.500
0.000 0.000 0.796
0.000 0.000 0.204
0.500 0.500 0.000


What did the third record say?
BaPmBi PBE-GGA relaxed; energy relative to the elements = -0.437 eV per atom; energy above the lowest structure with this stoichiometry = 0.0000 eV/atom
1.0
-2.493 -0.806 4.073
-0.498 -5.242 -1.342
4.260 1.660 2.936
Ba Bi Pm
1 1 1
Direct
0.666 0.667 0.333
0.168 0.333 0.667
0.166 0.000 0.000